(1)
Density functional theory data (PBE) for an optimized crystal structure of ZrAlCoCu.

calculated total energy = -0.4596 Ry/atom

Cell: 6.1719 6.1719 6.1719 Å, 90.00 90.00 90.00°
Space group F-43m (No. 216)
Asymmetric unit:
Zr: 0.0000 0.0000 0.0000 x4
Al: 0.0000 0.0000 0.5000 x4
Co: 0.2500 0.2500 0.2500 x4
Cu: 0.2500 0.2500 0.7500 x4

(2)
Density functional theory data (PBE) for an optimized crystal structure of YHoCuRh.

polymorph energy (0 for the lowest one) = 22 meV per atom

Cell: 6.9010 6.9010 6.9010 Å, 90.00 90.00 90.00°
Space group F-43m (No. 216)
Asymmetric unit:
Y: 0.0000 0.0000 0.0000 x4
Ho: 0.0000 0.0000 0.5000 x4
Cu: 0.2500 0.2500 0.2500 x4
Rh: 0.2500 0.2500 0.7500 x4

(3)
Density functional theory data (PBE) for an optimized crystal structure of Ba2Zn6PdAu.

calculated total energy = -0.1673 Ry/atom

Cell: 9.9588 9.9829 7.0463 Å, 90.00 134.81 90.00°
Space group C2/m (No. 12)
Asymmetric unit:
Ba: 0.0000 0.2499 0.0000 x4
Zn: 0.0000 0.2463 0.5000 x4
Zn: 0.2464 0.0000 0.5002 x4
Zn: 0.2464 0.0000 0.9925 x4
Pd: 0.0000 0.0000 0.5000 x2
Au: 0.0000 0.5000 0.5000 x2